! BeSb3Pd (PBE, optimized geometry); values from VASP
&SYSTEM
  ibrav = 0, nat = 5, ntyp = 3
/
ATOMIC_SPECIES
Be 9.01 Be.upf
Sb 121.76 Sb.upf
Pd 106.42 Pd.upf
ATOMIC_POSITIONS crystal
Be 0.000 0.000 0.000
Sb 0.000 0.000 0.500
Sb 0.000 0.500 0.000
Sb 0.500 0.000 0.000
Pd 0.500 0.500 0.500
CELL_PARAMETERS angstrom
4.837 0.000 0.000
0.000 4.837 0.000
0.000 0.000 4.837
! **Fermi-level density of states**: 0.546 states/eV per atom
! **E_form (uncorrected)**: 0.502 eV per atom
! **E**: -18.775 eV for the cell shown
! **SG**: No. 221

=====

! Th3Ge4Pt2 (PBE, optimized geometry); values from VASP
&SYSTEM
  ibrav = 0, nat = 9, ntyp = 3
/
ATOMIC_SPECIES
Th 232.04 Th.upf
Ge 72.64 Ge.upf
Pt 195.08 Pt.upf
ATOMIC_POSITIONS crystal
Th 0.000 0.000 0.000
Th 0.336 0.336 0.333
Th 0.664 0.664 0.667
Ge 0.071 0.071 0.401
Ge 0.270 0.270 0.934
Ge 0.730 0.730 0.066
Ge 0.929 0.929 0.599
Pt 0.403 0.403 0.728
Pt 0.597 0.597 0.272
CELL_PARAMETERS angstrom
5.553 -2.203 0.000
5.553 2.203 0.000
-1.794 0.000 8.201
! **Fermi-level density of states**: 0.519 states/eV per atom
! **E**: -61.478 eV for the cell shown
! **Energy relative to the elements**: -0.96 eV per atom
! **SG**: No. 12

=====

! BaNp2RhS7 (PBE, optimized geometry); values from VASP
&SYSTEM
  ibrav = 0, nat = 11, ntyp = 4
/
ATOMIC_SPECIES
Ba 137.33 Ba.upf
Np 237.00 Np.upf
Rh 102.91 Rh.upf
S 32.06 S.upf
ATOMIC_POSITIONS crystal
Ba 0.000 0.000 0.000
Np 0.369 0.369 0.000
Np 0.631 0.631 0.000
Rh 0.750 0.250 0.500
S 0.111 0.611 0.500
S 0.244 0.244 0.000
S 0.389 0.889 0.500
S 0.500 0.500 0.000
S 0.629 0.129 0.500
S 0.756 0.756 0.000
S 0.871 0.371 0.500
CELL_PARAMETERS angstrom
-2.575 2.575 9.933
2.575 -2.575 9.933
2.575 2.575 -9.933
! **Fermi-level density of states**: 1.517 states/eV per atom
! **E_form (uncorrected)**: -1.079 eV per atom
! **E**: -75.915 eV for the cell shown
! **SG**: No. 119